No. 1
A relaxed DyCo4Au crystal, computed with GGA-PBE.

Values from the calculation:
space group	F-43m

Lattice parameters (Å, degrees): 4.9630 4.9630 4.9630 60.00 60.00 60.00
Closest atoms and distances in Å follow each position.
Fractional positions:
Co 0.6243 0.6243 0.1270  6 Co 2.47-2.49
Co 0.6243 0.1270 0.6243  6 Co 2.47-2.49
Co 0.6243 0.6243 0.6243  6 Co 2.47-2.49
Co 0.1270 0.6243 0.6243  6 Co 2.47-2.49
Au 0.2500 0.2500 0.2500  12 Co 2.91, 4 Dy 3.04
Dy 0.0000 0.0000 0.0000  12 Co 2.91, 4 Au 3.04


No. 2
A relaxed V3PbS crystal, computed with GGA-PBE.

Values from the calculation:
space group	Pm-3m

Lattice parameters (Å, degrees): 5.1555 5.1555 5.1555 90.00 90.00 90.00
Closest atoms and distances in Å follow each position.
Fractional positions:
Pb 0.0000 0.0000 0.0000  6 V 2.58
S 0.5000 0.5000 0.5000  12 V 3.65
V 0.0000 0.5000 0.0000  2 Pb 2.58
V 0.0000 0.0000 0.5000  2 Pb 2.58
V 0.5000 0.0000 0.0000  2 Pb 2.58


DFT total energy readings, ordered: -6.207 -5.377 eV per atom
Volume readings, ordered: 86 137 Å³/f.u.